Record 1
Crystalline RbDyGeBr6 at its relaxed geometry. Source: Alexandria, functional PBE.

Results
**Volume**: 39.7 Å³/atom
**E**: -3.69 eV/atom

Cell lengths 7.345, 7.345, 7.643 Å; angles 90.01, 89.99, 59.99 degrees
Fractional coordinates of all 9 atoms:
Br: 0.626 0.002 0.288
Br: 0.372 0.626 0.288
Br: 0.002 0.626 0.712
Br: 0.372 0.002 0.712
Br: 0.002 0.372 0.288
Br: 0.626 0.372 0.712
Dy: 0.333 0.333 0.500
Rb: 0.000 0.000 0.000
Ge: 0.667 0.667 0.500

---

Record 2
Crystalline Dy4GeSe2Br at its relaxed geometry. Source: Alexandria, functional PBE.

Results
**Volume**: 24.9 Å³/atom
**E**: -5.36 eV/atom

Cell lengths 4.118, 7.087, 7.228 Å; angles 70.91, 90.00, 90.00 degrees
Fractional coordinates of all 8 atoms:
Dy: 0.500 0.254 0.728
Dy: 0.500 0.746 0.272
Dy: 0.000 0.235 0.281
Dy: 0.000 0.765 0.719
Br: 0.500 0.500 0.000
Ge: 0.000 0.500 0.500
Se: 0.000 0.000 0.000
Se: 0.500 0.000 0.500

---

Record 3
Crystalline Dy8Ge3Te4Br at its relaxed geometry. Source: Alexandria, functional PBE.

Results
**Volume**: 27.5 Å³/atom
**E**: -5.27 eV/atom

Cell lengths 8.481, 8.598, 8.481 Å; angles 119.55, 120.00, 90.00 degrees
Fractional coordinates of all 16 atoms:
Dy: 0.724 0.724 0.974
Dy: 0.250 0.724 0.974
Dy: 0.750 0.276 0.500
Dy: 0.250 0.724 0.500
Dy: 0.260 0.280 0.520
Dy: 0.276 0.276 0.026
Dy: 0.740 0.720 0.480
Dy: 0.750 0.276 0.026
Te: 0.000 0.000 0.000
Te: 0.000 0.000 0.500
Te: 0.500 0.000 0.500
Te: 0.500 0.000 0.000
Ge: 0.500 0.500 0.000
Ge: 0.000 0.500 0.500
Ge: 0.500 0.500 0.500
Br: 0.000 0.500 0.000

---

Record 4
Crystalline DyTlGe2Br8 at its relaxed geometry. Source: Alexandria, functional PBE.

Results
**Volume**: 37.4 Å³/atom
**E**: -3.48 eV/atom

Cell lengths 7.282, 6.659, 9.294 Å; angles 88.95, 85.82, 85.92 degrees
Fractional coordinates of all 12 atoms:
Br: 0.640 0.730 0.446
Br: 0.683 0.766 0.029
Br: 0.822 0.229 0.792
Br: 0.858 0.266 0.221
Br: 0.360 0.270 0.554
Br: 0.178 0.771 0.208
Br: 0.142 0.734 0.779
Br: 0.317 0.234 0.971
Ge: 0.451 0.457 0.760
Ge: 0.549 0.543 0.240
Dy: 0.000 0.000 0.000
Tl: 0.000 0.000 0.500

---

Record 5
Crystalline DyTlGeBr6 at its relaxed geometry. Source: Alexandria, functional PBE.

Results
**Volume**: 37.5 Å³/atom
**E**: -3.63 eV/atom

Cell lengths 7.311, 7.312, 7.296 Å; angles 90.01, 90.00, 60.00 degrees
Fractional coordinates of all 9 atoms:
Br: 0.631 0.002 0.279
Br: 0.002 0.367 0.279
Br: 0.631 0.367 0.721
Br: 0.002 0.631 0.721
Br: 0.367 0.631 0.279
Br: 0.367 0.002 0.721
Dy: 0.333 0.333 0.500
Ge: 0.667 0.667 0.500
Tl: 0.000 0.000 0.000

---

Record 6
Crystalline Dy2HBr at its relaxed geometry. Source: Alexandria, functional PBE.

Results
**Volume**: 20.8 Å³/atom
**E**: -4.26 eV/atom

Cell lengths 3.628, 3.628, 7.582 Å; angles 76.16, 76.16, 60.00 degrees
Fractional coordinates of all 4 atoms:
H: 0.000 0.000 0.000
Br: 0.500 0.500 0.500
Dy: 0.727 0.727 0.820
Dy: 0.273 0.273 0.180

---

Record 7
Crystalline DyHBr3 at its relaxed geometry. Source: Alexandria, functional PBE.

Results
**Volume**: 36.0 Å³/atom
**E**: -4.08 eV/atom

Cell lengths 7.694, 7.529, 13.110 Å; angles 90.00, 108.62, 90.00 degrees
Fractional coordinates of all 20 atoms:
Br: 0.246 0.749 0.796
Br: 0.243 0.977 0.529
Br: 0.754 0.749 0.704
Br: 0.757 0.477 0.937
Br: 0.754 0.251 0.204
Br: 0.243 0.023 0.029
Br: 0.243 0.477 0.563
Br: 0.757 0.523 0.437
Br: 0.246 0.251 0.296
Br: 0.757 0.023 0.471
Br: 0.757 0.977 0.971
Br: 0.243 0.523 0.063
H: 0.052 0.231 0.761
H: 0.948 0.769 0.239
H: 0.052 0.769 0.261
H: 0.948 0.231 0.739
Dy: 0.000 0.750 0.584
Dy: 0.000 0.750 0.916
Dy: 0.000 0.250 0.416
Dy: 0.000 0.250 0.084

---

Record 8
Crystalline DyHBr at its relaxed geometry. Source: Alexandria, functional PBE.

Results
**Volume**: 20.2 Å³/atom
**E**: -4.21 eV/atom

Cell lengths 3.740, 3.740, 5.441 Å; angles 69.90, 69.90, 60.00 degrees
Each line ends with the local moment (μB).
Fractional coordinates of all 3 atoms:
H: 0.089 0.089 0.733  -0.01
Dy: 0.392 0.392 0.824  0.48
Br: 0.593 0.593 0.222  0.01

---

Record 9
Crystalline DyH2Br3 at its relaxed geometry. Source: Alexandria, functional PBE.

Results
**Volume**: 34.3 Å³/atom
**E**: -3.19 eV/atom

Cell lengths 8.056, 8.056, 7.316 Å; angles 90.00, 90.00, 120.00 degrees
Each line ends with the local moment (μB).
Fractional coordinates of all 12 atoms:
Br: 0.846 0.691 0.750  0.01
Br: 0.846 0.154 0.750  0.01
Br: 0.691 0.846 0.250  0.01
Br: 0.154 0.309 0.250  0.01
Br: 0.309 0.154 0.750  0.01
Br: 0.154 0.846 0.250  0.01
Dy: 0.000 0.000 0.000  0.02
Dy: 0.000 0.000 0.500  0.02
H: 0.667 0.333 0.458  0.38
H: 0.667 0.333 0.042  0.38
H: 0.333 0.667 0.958  0.38
H: 0.333 0.667 0.542  0.38

---

Record 10
Crystalline DyH2Br at its relaxed geometry. Source: Alexandria, functional PBE.

Results
**Volume**: 16.1 Å³/atom
**E**: -4.34 eV/atom

Cell lengths 3.752, 3.752, 10.573 Å; angles 90.00, 90.00, 120.00 degrees
Fractional coordinates of all 8 atoms:
Dy: 0.333 0.667 0.349
Dy: 0.667 0.333 0.651
Br: 0.667 0.333 0.165
Br: 0.333 0.667 0.835
H: 0.667 0.333 0.441
H: 0.333 0.667 0.559
H: 0.000 0.000 0.367
H: 0.000 0.000 0.633

---

Record 11
Crystalline DyH4Br4 at its relaxed geometry. Source: Alexandria, functional PBE.

Results
**Volume**: 21.1 Å³/atom
**E**: -2.92 eV/atom

Cell lengths 3.879, 7.260, 7.260 Å; angles 85.91, 74.51, 74.51 degrees
Fractional coordinates of all 9 atoms:
Br: 0.238 0.311 0.712
Br: 0.950 0.788 0.811
Br: 0.050 0.212 0.189
Br: 0.762 0.689 0.288
H: 0.272 0.681 0.276
H: 0.548 0.224 0.181
H: 0.452 0.776 0.819
H: 0.728 0.319 0.724
Dy: 0.500 0.500 0.000

---

Record 12
Crystalline DyHBr at its relaxed geometry. Source: Alexandria, functional PBE.

Results
**Volume**: 19.5 Å³/atom
**E**: -4.20 eV/atom

Cell lengths 3.826, 5.851, 5.804 Å; angles 64.28, 89.27, 89.81 degrees
Fractional coordinates of all 6 atoms:
Br: 0.249 0.283 0.874
Br: 0.751 0.717 0.126
H: 0.250 0.886 0.534
H: 0.750 0.114 0.466
Dy: 0.251 0.300 0.366
Dy: 0.749 0.700 0.634

---

Repeat the first record exactly.
Crystalline RbDyGeBr6 at its relaxed geometry. Source: Alexandria, functional PBE.

Results
**Volume**: 39.7 Å³/atom
**E**: -3.69 eV/atom

Cell lengths 7.345, 7.345, 7.643 Å; angles 90.01, 89.99, 59.99 degrees
Fractional coordinates of all 9 atoms:
Br: 0.626 0.002 0.288
Br: 0.372 0.626 0.288
Br: 0.002 0.626 0.712
Br: 0.372 0.002 0.712
Br: 0.002 0.372 0.288
Br: 0.626 0.372 0.712
Dy: 0.333 0.333 0.500
Rb: 0.000 0.000 0.000
Ge: 0.667 0.667 0.500

---

Repeat the eighth record exactly.
Crystalline DyHBr at its relaxed geometry. Source: Alexandria, functional PBE.

Results
**Volume**: 20.2 Å³/atom
**E**: -4.21 eV/atom

Cell lengths 3.740, 3.740, 5.441 Å; angles 69.90, 69.90, 60.00 degrees
Each line ends with the local moment (μB).
Fractional coordinates of all 3 atoms:
H: 0.089 0.089 0.733  -0.01
Dy: 0.392 0.392 0.824  0.48
Br: 0.593 0.593 0.222  0.01

---

Copy entry 7 word for word.
Crystalline DyHBr3 at its relaxed geometry. Source: Alexandria, functional PBE.

Results
**Volume**: 36.0 Å³/atom
**E**: -4.08 eV/atom

Cell lengths 7.694, 7.529, 13.110 Å; angles 90.00, 108.62, 90.00 degrees
Fractional coordinates of all 20 atoms:
Br: 0.246 0.749 0.796
Br: 0.243 0.977 0.529
Br: 0.754 0.749 0.704
Br: 0.757 0.477 0.937
Br: 0.754 0.251 0.204
Br: 0.243 0.023 0.029
Br: 0.243 0.477 0.563
Br: 0.757 0.523 0.437
Br: 0.246 0.251 0.296
Br: 0.757 0.023 0.471
Br: 0.757 0.977 0.971
Br: 0.243 0.523 0.063
H: 0.052 0.231 0.761
H: 0.948 0.769 0.239
H: 0.052 0.769 0.261
H: 0.948 0.231 0.739
Dy: 0.000 0.750 0.584
Dy: 0.000 0.750 0.916
Dy: 0.000 0.250 0.416
Dy: 0.000 0.250 0.084

---

> What is the formula in the fifth record?

DyTlGeBr6